Rb6H2Br3Cl: relaxed, PBE-GGA.

The structure belongs to space group C2/m (No. 12); the cell edges are 20.611, 4.722 and 9.497 Å and the angles 90.00°, 103.78° and 90.00°. The distinct sites, in fractional coordinates, are Rb at (0.009, 0.000, 0.248), Rb at (0.166, 0.500, 0.101), Rb at (0.174, 0.500, 0.568), H at (0.170, 0.000, 0.337), Br at (0.000, 0.500, 0.500), Br at (0.165, 0.000, 0.831) and Cl at (0.000, 0.500, 0.000).

The calculation puts the electronic total energy at -2.85 eV/atom. The mass density comes out at 2923 kg/m³. Its density of states at the Fermi level is 0.000 states/eV/atom. The crystal system is monoclinic.